# 1
GGA-PBE La4Tl2I, optimized geometry; distance to the lowest polymorph of the same formula = 0.237 eV per atom; SG = No. 139
1.0
-1.280 -0.410 -5.799
-5.760 -0.712 1.321
-4.562 7.263 -2.562
Tl La I
2 4 1
Cartesian
-3.743 1.112 -2.308
-7.858 5.028 -4.732
-2.880 -0.356 0.661
-0.640 -0.205 -2.899
-7.444 1.912 -4.603
-4.157 4.228 -2.437
0.000 0.000 0.000



# 2
GGA-PBE La5Tl4I, optimized geometry; SG = No. 123
1.0
3.771 0.000 0.000
0.000 3.771 0.000
0.000 0.000 22.194
La I Tl
5 1 4
Cartesian
1.885 1.885 19.862
1.885 1.885 2.332
1.885 1.885 11.097
1.885 1.885 15.522
1.885 1.885 6.672
0.000 0.000 0.000
0.000 0.000 17.782
0.000 0.000 13.317
0.000 0.000 4.412
0.000 0.000 8.877



Calculated total energy (Ha/atom)
-0.1431, -0.1504
Density (Mg/m³)
6.47, 8.62